Entry from Alexandria: crystalline ScInSe2 at its relaxed geometry (PBE).

extended XYZ file:
```
4
Lattice="6.807 0.054 0.000 4.513 5.097 0.000 -5.660 -2.576 2.770" Properties=species:S:1:pos:R:3 pbc="T T T"
In 5.660 2.576 0.000
Sc 3.404 0.027 1.385
Se 0.000 0.000 0.000
Se 2.257 2.548 1.385
```

Results
Uncorrected formation energy   -675 meV/atom
Fermi-level density of states   3.768 states/eV/cell
Spin magnetization   0.0 μB/f.u.
DFT total energy   -0.1722 hartree per atom